12
Lattice="5.2143 0.0000 0.0000 -2.6071 4.5157 0.0000 0.0000 0.0000 7.5552" Properties=species:S:1:pos:R:3 comment="AgOs2RuO8 (GGA-PBE, relaxed)" formation_energy_uncorrected_mev_per_atom=-621 magnetic_moment_mub_per_cell=0.0 pbc="T T T"
O 1.6919 3.1940 4.9818
O 2.6071 1.5052 0.1477
Os 2.6071 1.5052 1.9120
O 0.0000 3.0105 7.4075
O 0.9153 1.3217 2.5734
O -0.6870 1.4535 4.9818
Os 0.0000 3.0105 5.6432
O -1.0049 4.3839 4.9818
Ag 0.0000 0.0000 0.0000
O 3.2941 3.0622 2.5734
Ru 0.0000 0.0000 3.7776
O 3.6120 0.1318 2.5734